## HoHg3Pt8 (PBE)

Data for a relaxed structure of HoHg3Pt8.

Output
ΔE_f ... -3.64 eV per formula unit
N(E_F) ... 1.0253 states/eV per atom

Lattice parameters (Å, degrees): 5.3936 5.3936 26.4017 90.00 90.00 120.00
Space group R3m (No. 160, hexagonal axes)
One atom of each set of equivalent atoms:
Ho1 0.0000 0.0000 0.0000
Hg1 0.0000 0.0000 0.3786
Hg2 0.0000 0.0000 0.5020
Hg3 0.0000 0.0000 0.8752
Pt1 0.0000 0.0000 0.1886
Pt2 0.0000 0.0000 0.6886
Pt3 0.0000 0.5000 0.4378
Pt4 0.0010 0.5005 0.9393

---

## LiAgMo2 (PBE)

Data for a relaxed structure of LiAgMo2.

Output
ΔE_f ... 1.25 eV per formula unit
N(E_F) ... 0.6475 states/eV per atom

Lattice parameters (Å, degrees): 2.639 4.272 5.662 90.00 98.93 90.00
Space group Pm (No. 6)
One atom of each set of equivalent atoms:
Li1 0.000 0.000 0.000
Ag1 0.178 0.500 0.772
Mo1 0.537 0.000 0.478
Mo2 0.754 0.500 0.256

---

## NdHg2Pb (PBE)

Data for a relaxed structure of NdHg2Pb.

Output
ΔE_f ... -1.24 eV per formula unit
N(E_F) ... 0.5804 states/eV per atom

Lattice parameters (Å, degrees): 3.832 3.832 7.539 90.00 90.00 90.00
Space group P4/mmm (No. 123)
One atom of each set of equivalent atoms:
Nd1 0.000 0.000 0.000
Hg1 0.500 0.500 0.249
Pb1 0.000 0.000 0.500

---

## Mg4TlCd5 (PBE)

Data for a relaxed structure of Mg4TlCd5.

Output
ΔE_f ... -0.75 eV per formula unit
N(E_F) ... 0.1846 states/eV per atom

Lattice parameters (Å, degrees): 3.318 3.318 20.686 90.00 90.00 90.00
Space group P4/mmm (No. 123)
One atom of each set of equivalent atoms:
Mg1 0.000 0.000 0.095
Mg2 0.000 0.000 0.284
Tl1 0.000 0.000 0.500
Cd1 0.500 0.500 0.000
Cd2 0.500 0.500 0.189
Cd3 0.500 0.500 0.379

---

## LaPrSm2Bi5 (PBE)

Data for a relaxed structure of LaPrSm2Bi5.

Output
ΔE_f ... -0.05 eV per formula unit
N(E_F) ... 0.8583 states/eV per atom

Lattice parameters (Å, degrees): 5.582 5.582 12.235 90.00 90.00 90.00
Space group P4/mmm (No. 123)
One atom of each set of equivalent atoms:
La1 0.000 0.000 0.000
Pr1 0.000 0.000 0.500
Sm1 0.500 0.500 0.269
Bi1 0.000 0.000 0.247
Bi2 0.000 0.500 0.500
Bi3 0.500 0.500 0.000

---

## MnW (PBE)

Data for a relaxed structure of MnW.

Output
ΔE_f ... 0.90 eV per formula unit
N(E_F) ... 1.2578 states/eV per atom

Lattice parameters (Å, degrees): 2.588 10.150 4.364 90.00 90.00 90.00
Space group Cmcm (No. 63)
One atom of each set of equivalent atoms:
Mn1 0.000 0.176 0.250
W1 0.000 0.422 0.250

---

## RbTc3As (PBE)

Data for a relaxed structure of RbTc3As.

Output
ΔE_f ... 6.98 eV per formula unit
N(E_F) ... 1.0462 states/eV per atom

Lattice parameters (Å, degrees): 4.784 4.784 4.784 90.00 90.00 90.00
Space group Pm-3m (No. 221)
One atom of each set of equivalent atoms:
Rb1 0.000 0.000 0.000
Tc1 0.000 0.500 0.500
As1 0.500 0.500 0.500

---

## Nd5Y8Mg (PBE)

Data for a relaxed structure of Nd5Y8Mg.

Output
ΔE_f ... 2.96 eV per formula unit
N(E_F) ... 1.2245 states/eV per atom

Lattice parameters (Å, degrees): 9.699 9.699 10.076 90.00 90.00 90.00
Space group I-4 (No. 82)
One atom of each set of equivalent atoms:
Nd1 0.000 0.000 0.000
Nd2 0.103 0.213 0.578
Y1 0.070 0.326 0.905
Y2 0.084 0.185 0.244
Mg1 0.000 0.500 0.250

---

## Sc2Co2Sn (PBE)

Data for a relaxed structure of Sc2Co2Sn.

Output
ΔE_f ... -1.54 eV per formula unit
N(E_F) ... 0.7852 states/eV per atom

Lattice parameters (Å, degrees): 4.307 4.394 9.440 90.00 96.47 90.00
Space group P2_1/m (No. 11)
One atom of each set of equivalent atoms:
Sc1 0.209 0.250 0.327
Sc2 0.248 0.250 0.985
Co1 0.250 0.750 0.506
Co2 0.289 0.750 0.830
Sn1 0.294 0.250 0.666

---

## NaYSeS (PBE)

Data for a relaxed structure of NaYSeS.

Output
Formation energy (no corrections) ... -1778 meV per atom
N(E_F) ... 0.0000 states/eV per atom

Lattice parameters (Å, degrees): 4.0664 4.0664 20.5451 90.00 90.00 120.00
Space group R3m (No. 160, hexagonal axes)
One atom of each set of equivalent atoms:
Na1 0.0000 0.0000 0.0000
Y1 0.0000 0.0000 0.5061
Se1 0.0000 0.0000 0.7587
S1 0.0000 0.0000 0.2444

---

## VWS2N (PBE)

Data for a relaxed structure of VWS2N.

Output
Formation energy (no corrections) ... 472 meV per atom
N(E_F) ... 1.2694 states/eV per atom

Lattice parameters (Å, degrees): 4.785 4.785 3.794 90.00 90.00 90.00
Space group P4/mmm (No. 123)
One atom of each set of equivalent atoms:
V1 0.000 0.000 0.000
W1 0.500 0.500 0.500
S1 0.000 0.500 0.500
N1 0.500 0.500 0.000

---

## AcMgIr2 (PBE)

Data for a relaxed structure of AcMgIr2.

Output
ΔE_f ... -0.86 eV per formula unit
N(E_F) ... 0.5952 states/eV per atom

Lattice parameters (Å, degrees): 4.584 4.584 3.876 90.00 90.00 90.00
Space group P4/mmm (No. 123)
One atom of each set of equivalent atoms:
Ac1 0.000 0.000 0.000
Mg1 0.500 0.500 0.000
Ir1 0.000 0.500 0.500